# 1
A plane-wave DFT calculation with PBEsol was carried out for crystalline FeTe2Ir at its relaxed geometry.

CIF file:
```
data_FeTe2Ir
_chemical_formula_sum 'Fe3 Te6 Ir3'
_cell_length_a 3.9076
_cell_length_b 3.9076
_cell_length_c 19.0578
_cell_angle_alpha 90.00
_cell_angle_beta 90.00
_cell_angle_gamma 120.00
_space_group_name_H-M_alt 'R 3 m'
_space_group_IT_number 160
_space_group_name_Hall 'R 3 -2"'
loop_
_atom_site_label
_atom_site_fract_x
_atom_site_fract_y
_atom_site_fract_z
_atom_site_occupancy
Fe1 0.0000 0.0000 0.0000 1
Te1 0.0000 0.0000 0.5455 1
Te2 0.0000 0.0000 0.7348 1
Ir1 0.0000 0.0000 0.2867 1
```

Properties
* magnetization: 2.0 μB/f.u.
* raw formation energy: 58.4 meV/atom

***

# 2
A plane-wave DFT calculation with PBEsol was carried out for crystalline MgCdPb2 at its relaxed geometry.

CIF file:
```
data_MgCdPb2
_chemical_formula_sum 'Mg2 Cd2 Pb4'
_cell_length_a 10.149
_cell_length_b 3.461
_cell_length_c 6.057
_cell_angle_alpha 90.00
_cell_angle_beta 101.13
_cell_angle_gamma 90.00
_space_group_name_H-M_alt 'C 1 2/m 1'
_space_group_IT_number 12
loop_
_space_group_symop_operation_xyz
'x,y,z'
'-x,-y,-z'
'-x,y,-z'
'x,-y,z'
'x+1/2,y+1/2,z'
'-x+1/2,-y+1/2,-z'
'-x+1/2,y+1/2,-z'
'x+1/2,-y+1/2,z'
loop_
_atom_site_label
_atom_site_fract_x
_atom_site_fract_y
_atom_site_fract_z
_atom_site_occupancy
Mg1 0.000 0.000 0.000 1
Cd1 0.000 0.500 0.500 1
Pb1 0.249 0.500 0.248 1
```

Properties
* magnetization: 0.0 μB/f.u.
* energy: -21.8 eV per cell

***

# 3
A plane-wave DFT calculation with PBEsol was carried out for crystalline RbSnSb2Os at its relaxed geometry.

CIF file:
```
data_RbSnSb2Os
_chemical_formula_sum 'Rb1 Sn1 Sb2 Os1'
_cell_length_a 5.696
_cell_length_b 5.696
_cell_length_c 4.806
_cell_angle_alpha 90.00
_cell_angle_beta 90.00
_cell_angle_gamma 90.00
_space_group_name_H-M_alt 'P 4/m m m'
_space_group_IT_number 123
_space_group_name_Hall '-P 4 2'
loop_
_atom_site_label
_atom_site_fract_x
_atom_site_fract_y
_atom_site_fract_z
_atom_site_occupancy
Rb1 0.000 0.000 0.000 1
Sn1 0.500 0.500 0.500 1
Sb1 0.000 0.500 0.000 1
Os1 0.000 0.000 0.500 1
```

Properties
* magnetization: 0.0 μB/f.u.
* raw formation energy: 2351.0 meV/atom

***

# 4
A plane-wave DFT calculation with PBEsol was carried out for crystalline In2MoIr at its relaxed geometry.

CIF file:
```
data_In2MoIr
_chemical_formula_sum 'In4 Mo2 Ir2'
_cell_length_a 5.849
_cell_length_b 9.099
_cell_length_c 2.891
_cell_angle_alpha 90.00
_cell_angle_beta 115.30
_cell_angle_gamma 90.00
_space_group_name_H-M_alt 'C 1 2/m 1'
_space_group_IT_number 12
loop_
_space_group_symop_operation_xyz
'x,y,z'
'-x,-y,-z'
'-x,y,-z'
'x,-y,z'
'x+1/2,y+1/2,z'
'-x+1/2,-y+1/2,-z'
'-x+1/2,y+1/2,-z'
'x+1/2,-y+1/2,z'
loop_
_atom_site_label
_atom_site_fract_x
_atom_site_fract_y
_atom_site_fract_z
_atom_site_occupancy
In1 0.250 0.250 0.000 1
Mo1 0.000 0.000 0.500 1
Ir1 0.000 0.500 0.500 1
```

Properties
* magnetization: 0.0 μB/f.u.
* energy: -52.4 eV per cell

***

# 5
A plane-wave DFT calculation with PBEsol was carried out for crystalline FeMoOs3 at its relaxed geometry.

CIF file:
```
data_FeMoOs3
_chemical_formula_sum 'Fe1 Mo1 Os3'
_cell_length_a 4.307
_cell_length_b 4.307
_cell_length_c 4.307
_cell_angle_alpha 90.00
_cell_angle_beta 90.00
_cell_angle_gamma 90.00
_space_group_name_H-M_alt 'P m -3 m'
_space_group_IT_number 221
_space_group_name_Hall '-P 4 2 3'
loop_
_atom_site_label
_atom_site_fract_x
_atom_site_fract_y
_atom_site_fract_z
_atom_site_occupancy
Fe1 0.000 0.000 0.000 1
Mo1 0.500 0.500 0.500 1
Os1 0.000 0.000 0.500 1
```

Properties
* magnetization: 0.5 μB/f.u.
* energy: -48.3 eV per cell

***

# 6
A plane-wave DFT calculation with PBEsol was carried out for crystalline TlIn3 at its relaxed geometry.

CIF file:
```
data_TlIn3
_chemical_formula_sum 'Tl2 In6'
_cell_length_a 3.844
_cell_length_b 5.121
_cell_length_c 10.677
_cell_angle_alpha 90.00
_cell_angle_beta 90.00
_cell_angle_gamma 90.00
_space_group_name_H-M_alt 'C m m m'
_space_group_IT_number 65
_space_group_name_Hall '-C 2 2'
loop_
_atom_site_label
_atom_site_fract_x
_atom_site_fract_y
_atom_site_fract_z
_atom_site_occupancy
Tl1 0.000 0.000 0.000 1
In1 0.000 0.000 0.500 1
In2 0.000 0.500 0.255 1
```

Properties
* magnetization: 0.0 μB/f.u.
* energy: -23.0 eV per cell

***

# 7
A plane-wave DFT calculation with PBEsol was carried out for crystalline NdFe4As12 at its relaxed geometry.

CIF file:
```
data_NdFe4As12
_chemical_formula_sum 'Nd2 Fe8 As24'
_cell_length_a 8.234
_cell_length_b 8.234
_cell_length_c 8.234
_cell_angle_alpha 90.00
_cell_angle_beta 90.00
_cell_angle_gamma 90.00
_space_group_name_H-M_alt 'I m -3'
_space_group_IT_number 204
_space_group_name_Hall '-I 2 2 3'
loop_
_atom_site_label
_atom_site_fract_x
_atom_site_fract_y
_atom_site_fract_z
_atom_site_occupancy
Nd1 0.000 0.000 0.000 1
Fe1 0.250 0.250 0.250 1
As1 0.000 0.157 0.343 1
```

Properties
* magnetization: 0.4 μB/f.u.
* energy: -219.8 eV per cell

***

# 8
A plane-wave DFT calculation with PBEsol was carried out for crystalline Ba4Ca4Cu6Hg2O17 at its relaxed geometry.

CIF file:
```
data_Ba4Ca4Cu6Hg2O17
_chemical_formula_sum 'Ba8 Ca8 Cu12 Hg4 O34'
_cell_length_a 5.383
_cell_length_b 5.383
_cell_length_c 31.662
_cell_angle_alpha 90.00
_cell_angle_beta 90.00
_cell_angle_gamma 90.00
_space_group_name_H-M_alt 'I 4/m m m'
_space_group_IT_number 139
_space_group_name_Hall '-I 4 2'
loop_
_atom_site_label
_atom_site_fract_x
_atom_site_fract_y
_atom_site_fract_z
_atom_site_occupancy
Ba1 0.000 0.000 0.084 1
Ba2 0.000 0.000 0.412 1
Ca1 0.000 0.000 0.198 1
Ca2 0.000 0.000 0.301 1
Cu1 0.000 0.500 0.150 1
Cu2 0.000 0.500 0.250 1
Hg1 0.000 0.500 0.000 1
O1 0.000 0.000 0.000 1
O2 0.000 0.500 0.064 1
O3 0.249 0.249 0.348 1
O4 0.250 0.250 0.250 1
```

Properties
* magnetization: 0.8 μB/f.u.
* raw formation energy: -1671.2 meV/atom

***

# 9
A plane-wave DFT calculation with PBEsol was carried out for crystalline LiSnSN2 at its relaxed geometry.

CIF file:
```
data_LiSnSN2
_chemical_formula_sum 'Li1 Sn1 S1 N2'
_cell_length_a 4.139
_cell_length_b 4.139
_cell_length_c 5.150
_cell_angle_alpha 90.00
_cell_angle_beta 90.00
_cell_angle_gamma 90.00
_space_group_name_H-M_alt 'P 4/m m m'
_space_group_IT_number 123
_space_group_name_Hall '-P 4 2'
loop_
_atom_site_label
_atom_site_fract_x
_atom_site_fract_y
_atom_site_fract_z
_atom_site_occupancy
Li1 0.000 0.000 0.000 1
Sn1 0.500 0.500 0.500 1
S1 0.500 0.500 0.000 1
N1 0.000 0.500 0.500 1
```

Properties
* magnetization: 3.0 μB/f.u.
* raw formation energy: 811.8 meV/atom

***

# 10
A plane-wave DFT calculation with PBEsol was carried out for crystalline YTeRh2 at its relaxed geometry.

CIF file:
```
data_YTeRh2
_chemical_formula_sum 'Y2 Te2 Rh4'
_cell_length_a 4.199
_cell_length_b 4.309
_cell_length_c 7.908
_cell_angle_alpha 90.00
_cell_angle_beta 90.00
_cell_angle_gamma 90.00
_space_group_name_H-M_alt 'I m m m'
_space_group_IT_number 71
_space_group_name_Hall '-I 2 2'
loop_
_atom_site_label
_atom_site_fract_x
_atom_site_fract_y
_atom_site_fract_z
_atom_site_occupancy
Y1 0.000 0.000 0.000 1
Te1 0.000 0.000 0.500 1
Rh1 0.000 0.500 0.246 1
```

Properties
* magnetization: 0.0 μB/f.u.
* raw formation energy: -596.8 meV/atom

***

# 11
A plane-wave DFT calculation with PBEsol was carried out for crystalline LaSiHg4 at its relaxed geometry.

CIF file:
```
data_LaSiHg4
_chemical_formula_sum 'La4 Si4 Hg16'
_cell_length_a 8.291
_cell_length_b 8.291
_cell_length_c 8.291
_cell_angle_alpha 90.00
_cell_angle_beta 90.00
_cell_angle_gamma 90.00
_space_group_name_H-M_alt 'F -4 3 m'
_space_group_IT_number 216
_space_group_name_Hall 'F -4 2 3'
loop_
_atom_site_label
_atom_site_fract_x
_atom_site_fract_y
_atom_site_fract_z
_atom_site_occupancy
La1 0.000 0.000 0.000 1
Si1 0.250 0.250 0.250 1
Hg1 0.125 0.125 0.625 1
```

Properties
* magnetization: 0.0 μB/f.u.
* raw formation energy: -14.5 meV/atom

***

# 12
A plane-wave DFT calculation with PBEsol was carried out for crystalline SrGe2Cl at its relaxed geometry.

CIF file:
```
data_SrGe2Cl
_chemical_formula_sum 'Sr4 Ge8 Cl4'
_cell_length_a 7.278
_cell_length_b 7.278
_cell_length_c 7.278
_cell_angle_alpha 90.00
_cell_angle_beta 90.00
_cell_angle_gamma 90.00
_space_group_name_H-M_alt 'F m -3 m'
_space_group_IT_number 225
_space_group_name_Hall '-F 4 2 3'
loop_
_atom_site_label
_atom_site_fract_x
_atom_site_fract_y
_atom_site_fract_z
_atom_site_occupancy
Sr1 0.000 0.000 0.000 1
Ge1 0.250 0.250 0.250 1
Cl1 0.000 0.000 0.500 1
```

Properties
* magnetization: 0.0 μB/f.u.
* raw formation energy: 40.1 meV/atom